Record 1
Re2RuSe | PBE | relaxed

Unit cell a=4.0979 b=4.0979 c=7.2164 alpha=90.00 beta=90.00 gamma=90.00
Atoms (fractional coordinates):
1 Re 0.0000 0.0000 0.0000
2 Re 0.0000 0.5000 0.2500
3 Re 0.5000 0.0000 0.7500
4 Re 0.5000 0.5000 0.5000
5 Ru 0.0000 0.5000 0.7500
6 Ru 0.5000 0.0000 0.2500
7 Se 0.0000 0.0000 0.5000
8 Se 0.5000 0.5000 0.0000

Output
Formation energy from raw total energies ... 0.67 eV per atom
SG ... I-4m2
Mass density ... 15.14 g/cm3

***

Record 2
ReMo2 | PBE | relaxed

Unit cell a=4.6154 b=4.6154 c=5.1694 alpha=90.00 beta=90.00 gamma=120.00
Atoms (fractional coordinates):
1 Re 0.3333 0.6667 0.2500
2 Re 0.6667 0.3333 0.7500
3 Mo 0.0000 0.0000 0.0000
4 Mo 0.0000 0.0000 0.5000
5 Mo 0.3333 0.6667 0.7500
6 Mo 0.6667 0.3333 0.2500

Output
DFT formation energy ... 324 meV per atom
SG ... P6_3/mmc
Mass density ... 13.17 g/cm3

***

Record 3
YSb2As | PBE | relaxed

Unit cell a=4.3798 b=4.3798 c=10.4602 alpha=90.00 beta=90.00 gamma=90.00
Atoms (fractional coordinates):
1 Y 0.0000 0.0000 0.0000
2 Y 0.5000 0.5000 0.5000
3 Sb 0.0000 0.0000 0.5000
4 Sb 0.0000 0.5000 0.2500
5 Sb 0.5000 0.0000 0.7500
6 Sb 0.5000 0.5000 0.0000
7 As 0.0000 0.5000 0.7500
8 As 0.5000 0.0000 0.2500

Output
Formation energy from raw total energies ... -0.41 eV per atom
SG ... I-4m2
Mass density ... 6.74 g/cm3

***

Record 4
CaOs3Ru | PBE | relaxed

Unit cell a=4.5276 b=4.5276 c=4.5276 alpha=90.00 beta=90.00 gamma=90.00
Atoms (fractional coordinates):
1 Ca 0.0000 0.0000 0.0000
2 Os 0.0000 0.0000 0.5000
3 Os 0.0000 0.5000 0.0000
4 Os 0.5000 0.0000 0.0000
5 Ru 0.5000 0.5000 0.5000

Output
DFT formation energy ... 3350 meV per atom
SG ... Pm-3m
Mass density ... 12.74 g/cm3

***

Record 5
LiGe | PBE | relaxed

Unit cell a=5.7914 b=5.7914 c=5.7914 alpha=90.00 beta=90.00 gamma=90.00
Atoms (fractional coordinates):
1 Li 0.0000 0.0000 0.0000
2 Li 0.0000 0.5000 0.5000
3 Li 0.5000 0.0000 0.5000
4 Li 0.5000 0.5000 0.0000
5 Ge 0.2500 0.2500 0.7500
6 Ge 0.2500 0.7500 0.2500
7 Ge 0.7500 0.2500 0.2500
8 Ge 0.7500 0.7500 0.7500

Output
DFT formation energy ... 720 meV per atom
SG ... F-43m
Mass density ... 2.72 g/cm3

***

Record 6
BaSc3 | PBE | relaxed

Unit cell a=7.8370 b=7.8370 c=7.8370 alpha=90.00 beta=90.00 gamma=90.00
Atoms (fractional coordinates):
1 Ba 0.0000 0.0000 0.0000
2 Ba 0.0000 0.5000 0.5000
3 Ba 0.5000 0.0000 0.5000
4 Ba 0.5000 0.5000 0.0000
5 Sc 0.0000 0.0000 0.5000
6 Sc 0.0000 0.5000 0.0000
7 Sc 0.2500 0.2500 0.2500
8 Sc 0.2500 0.2500 0.7500
9 Sc 0.2500 0.7500 0.2500
10 Sc 0.2500 0.7500 0.7500
11 Sc 0.5000 0.0000 0.0000
12 Sc 0.5000 0.5000 0.5000
13 Sc 0.7500 0.2500 0.2500
14 Sc 0.7500 0.2500 0.7500
15 Sc 0.7500 0.7500 0.2500
16 Sc 0.7500 0.7500 0.7500

Output
DFT formation energy ... 387 meV per atom
SG ... Fm-3m
Mass density ... 3.76 g/cm3

***

Record 7
Ac2NpRu2 | PBE | relaxed

Unit cell a=7.1535 b=7.1535 c=11.6612 alpha=121.59 beta=121.59 gamma=33.26
Atoms (fractional coordinates):
1 Ac 0.0279 0.0279 0.1794
2 Ac 0.1667 0.1667 0.5837
3 Ac 0.8333 0.8333 0.4163
4 Ac 0.9721 0.9721 0.8206
5 Np 0.2891 0.2891 0.1340
6 Np 0.7109 0.7109 0.8660
7 Ru 0.3504 0.3504 0.9331
8 Ru 0.4662 0.4662 0.3503
9 Ru 0.5338 0.5338 0.6497
10 Ru 0.6496 0.6496 0.0669

Output
DFT formation energy ... -90 meV per atom
SG ... C2/m
Mass density ... 10.82 g/cm3

***

Record 8
Sr4Bi2Au | PBE | relaxed

Unit cell a=9.8690 b=9.8690 c=9.8690 alpha=33.43 beta=33.43 gamma=33.43
Atoms (fractional coordinates):
1 Sr 0.1210 0.1210 0.1210
2 Sr 0.3706 0.3706 0.3706
3 Sr 0.6294 0.6294 0.6294
4 Sr 0.8790 0.8790 0.8790
5 Bi 0.2454 0.2454 0.2454
6 Bi 0.7546 0.7546 0.7546
7 Au 0.0000 0.0000 0.0000

Output
DFT formation energy ... -801 meV per atom
SG ... R-3m
Mass density ... 6.17 g/cm3

***

Copy entry 4 word for word.
CaOs3Ru | PBE | relaxed

Unit cell a=4.5276 b=4.5276 c=4.5276 alpha=90.00 beta=90.00 gamma=90.00
Atoms (fractional coordinates):
1 Ca 0.0000 0.0000 0.0000
2 Os 0.0000 0.0000 0.5000
3 Os 0.0000 0.5000 0.0000
4 Os 0.5000 0.0000 0.0000
5 Ru 0.5000 0.5000 0.5000

Output
DFT formation energy ... 3350 meV per atom
SG ... Pm-3m
Mass density ... 12.74 g/cm3

***

Which value of mass density does entry 3 give?
6.74 g/cm3

***

mass density of number 3 (YSb2As)?
6.74 g/cm3

***

Which value of mass density does entry 3 give?
6.74 g/cm3